Here is a geometry-optimized Tb3Nd2Ho6 structure from Alexandria via LeMat-Bulk. Energies are from PBE-GGA.

Calculated values
Energy above the lowest structure with this stoichiometry in meV/atom: 0
Formation energy from the elements in meV/atom: 183
Crystal system: monoclinic
E_tot in eV per formula unit: -48.87

```
Tb3Nd2Ho6
1.0
3.054 -5.298 0.000
3.054 5.298 0.000
-2.057 0.000 11.507
Tb Nd Ho
3 2 6
Cartesian
0.000 0.000 0.000 Tb
3.054 1.746 0.000 Tb
3.054 -1.746 0.000 Tb
2.026 3.532 5.754 Nd
2.026 -3.532 5.754 Nd
1.013 1.766 2.848 Ho
-0.017 0.000 8.660 Ho
1.013 -1.766 2.848 Ho
3.038 1.766 8.659 Ho
4.068 0.000 2.848 Ho
3.038 -1.766 8.659 Ho
```

Here is a geometry-optimized TbNd12Ho3 structure from Alexandria via LeMat-Bulk. Energies are from PBE-GGA.

Calculated values
Formation energy from the elements in meV/atom: 14
Crystal system: tetragonal
E_tot in eV per formula unit: -75.36

```
TbNd12Ho3
1.0
5.156 0.000 0.000
0.000 5.156 0.000
0.000 0.000 20.565
Tb Nd Ho
1 12 3
Cartesian
0.000 0.000 0.000 Tb
0.000 2.578 2.579 Nd
0.000 2.578 7.714 Nd
0.000 2.578 12.851 Nd
0.000 2.578 17.986 Nd
2.578 0.000 2.579 Nd
2.578 0.000 7.714 Nd
2.578 0.000 12.851 Nd
2.578 0.000 17.986 Nd
2.578 2.578 0.000 Nd
2.578 2.578 5.148 Nd
2.578 2.578 10.283 Nd
2.578 2.578 15.417 Nd
0.000 0.000 5.147 Ho
0.000 0.000 10.283 Ho
0.000 0.000 15.418 Ho
```

Here is a geometry-optimized Tb15Nd4Ho structure from Alexandria via LeMat-Bulk. Energies are from PBE-GGA.

Calculated values
Formation energy from the elements in meV/atom: 17
Crystal system: tetragonal
E_tot in eV per formula unit: -92.76

```
Tb15Nd4Ho
1.0
5.071 0.000 0.000
0.000 5.071 0.000
0.000 0.000 25.296
Tb Nd Ho
15 4 1
Cartesian
0.000 0.000 0.000 Tb
0.000 0.000 5.027 Tb
0.000 0.000 10.110 Tb
0.000 0.000 15.186 Tb
0.000 0.000 20.269 Tb
0.000 2.535 2.491 Tb
0.000 2.535 7.569 Tb
0.000 2.535 12.648 Tb
0.000 2.535 17.727 Tb
0.000 2.535 22.805 Tb
2.535 0.000 2.491 Tb
2.535 0.000 7.569 Tb
2.535 0.000 12.648 Tb
2.535 0.000 17.727 Tb
2.535 0.000 22.805 Tb
2.535 2.535 5.037 Nd
2.535 2.535 10.107 Nd
2.535 2.535 15.189 Nd
2.535 2.535 20.259 Nd
2.535 2.535 0.000 Ho
```